[1]
Compound: Cr2WBr
Source: the Alexandria database
Functional: PBE
Structure: relaxed

## Properties
SG   Fm-3m
Magnetic moment   0.00 μB per formula unit
Total energy   -7.302 eV per atom

Geometry as CIF:
```
data_Cr2WBr
_space_group_name_H-M_alt 'P 1'
_space_group_IT_number 1
_cell_length_a 4.3479
_cell_length_b 4.3479
_cell_length_c 4.3479
_cell_angle_alpha 60.00
_cell_angle_beta 60.00
_cell_angle_gamma 60.00
loop_
_space_group_symop_operation_xyz
'x,y,z'
loop_
_atom_site_label
_atom_site_fract_x
_atom_site_fract_y
_atom_site_fract_z
Cr1 0.2500 0.2500 0.2500
Cr2 0.7500 0.7500 0.7500
Br1 0.0000 0.0000 0.0000
W1 0.5000 0.5000 0.5000
```



[2]
Compound: Cr4WBr2
Source: the Alexandria database
Functional: PBE
Structure: relaxed

## Properties
SG   I4/mmm
Magnetic moment   14.65 μB per formula unit
Total energy   -6.708 eV per atom

Geometry as CIF:
```
data_Cr4WBr2
_space_group_name_H-M_alt 'P 1'
_space_group_IT_number 1
_cell_length_a 4.7819
_cell_length_b 4.7819
_cell_length_c 8.5137
_cell_angle_alpha 73.69
_cell_angle_beta 73.69
_cell_angle_gamma 90.00
loop_
_space_group_symop_operation_xyz
'x,y,z'
loop_
_atom_site_label
_atom_site_fract_x
_atom_site_fract_y
_atom_site_fract_z
Cr1 0.8436 0.8436 0.3127
Cr2 0.1564 0.1564 0.6873
Cr3 0.0000 0.5000 0.0000
Cr4 0.5000 0.0000 0.0000
Br1 0.6794 0.6794 0.6412
Br2 0.3206 0.3206 0.3588
W1 0.0000 0.0000 0.0000
```



[3]
Compound: CrWBr
Source: the Alexandria database
Functional: PBE
Structure: relaxed

## Properties
SG   P-6m2
Magnetic moment   0.00 μB per formula unit
Total energy   -7.029 eV per atom

Geometry as CIF:
```
data_CrWBr
_space_group_name_H-M_alt 'P 1'
_space_group_IT_number 1
_cell_length_a 4.2130
_cell_length_b 4.2130
_cell_length_c 2.9411
_cell_angle_alpha 90.00
_cell_angle_beta 90.00
_cell_angle_gamma 120.00
loop_
_space_group_symop_operation_xyz
'x,y,z'
loop_
_atom_site_label
_atom_site_fract_x
_atom_site_fract_y
_atom_site_fract_z
Br1 0.0000 0.0000 0.1668
Cr1 0.6667 0.3333 0.1657
W1 0.3333 0.6667 0.6674
```



Question: What is the total energy in the first record?
Answer: -7.302 eV per atom